Model 1:
{
  "formula": "Mn3CoH",
  "functional": "PBE-GGA",
  "state": "relaxed",
  "lattice_angstrom": [[-0.592, 3.139, -3.171], [-3.629, -2.200, -1.500], [-2.596, 2.360, 2.820]],
  "species": ["H", "Mn", "Mn", "Mn", "Co"],
  "fractional_positions": [[0.500, 0.500, 0.500], [0.000, 0.500, 0.000], [0.000, 0.000, 0.500], [0.500, 0.000, 0.000], [0.000, 0.000, 0.000]]
}

=====

Model 2:
{
  "formula": "Mn3CoH",
  "functional": "PBE-GGA",
  "state": "relaxed",
  "lattice_angstrom": [[2.700, 0.000, 0.000], [0.000, 2.700, 0.000], [0.000, 0.000, 6.829]],
  "species": ["Mn", "Mn", "Mn", "Co", "H"],
  "fractional_positions": [[0.364, 0.148, 0.614], [0.864, 0.648, 0.886], [0.364, 0.149, 0.158], [0.864, 0.648, 0.386], [0.363, 0.148, 0.886]]
}

=====

Out of the structures above, which one is the most stable? Solution: model 2.